## Pm2Fe3O8 (PBE with a Hubbard U)

Data for Pm2Fe3O8 after structural relaxation.

Computed properties:
E = -7.063 eV/atom
DOS at the Fermi energy = 0.164 states/eV/atom

```
data_Pm2Fe3O8
_chemical_formula_sum 'Pm2 Fe3 O8'
_cell_length_a 3.8544
_cell_length_b 3.8544
_cell_length_c 12.2605
_cell_angle_alpha 90.00
_cell_angle_beta 90.00
_cell_angle_gamma 90.00
_symmetry_space_group_name_H-M 'P 4/m m m'
_symmetry_Int_Tables_number 123
_symmetry_space_group_name_Hall '-P 4 2'
loop_
_atom_site_label
_atom_site_fract_x
_atom_site_fract_y
_atom_site_fract_z
Pm1 0.0000 0.0000 0.1738
Fe1 0.5000 0.5000 0.0000
Fe2 0.5000 0.5000 0.3176
O1 0.0000 0.5000 0.0000
O2 0.0000 0.5000 0.3087
O3 0.5000 0.5000 0.1588
```